# 1
A relaxed structure of SrLiTc. Source: the Alexandria database, functional PBE.

VASP energy (eV per atom): -3.874
Space-group type: I4mm (107)

The structure in POSCAR format:
```
SrLiTc
1.0
-0.145 -0.343 6.089
3.654 -2.696 4.074
-0.410 3.563 -4.934
Sr Tc Li
1 1 1
Cartesian
1.145 -0.991 3.315 Sr
2.231 -1.932 6.462 Tc
0.133 -0.115 0.385 Li
```

---

# 2
A relaxed structure of LaSmCd17. Source: the Alexandria database, functional PBE.

VASP energy (eV per atom): -1.490
Space-group type: R3m (160)

The structure in POSCAR format:
```
LaSmCd17
1.0
-0.778 -2.596 7.197
-7.187 -2.662 -0.630
1.739 -7.366 -1.362
Cd Sm La
17 1 1
Cartesian
-4.503 -4.062 -0.834 Cd
-2.577 -5.749 5.518 Cd
-5.768 -11.218 1.753 Cd
-6.948 -8.982 5.766 Cd
-0.648 -1.313 0.541 Cd
-0.932 -5.944 -1.127 Cd
-5.250 -2.647 1.706 Cd
-1.284 -8.200 1.120 Cd
-5.632 -11.420 4.709 Cd
-2.763 -11.188 5.423 Cd
-4.689 -4.707 3.880 Cd
-2.686 -2.620 4.837 Cd
-3.580 -6.810 0.107 Cd
-0.755 -6.781 3.557 Cd
0.971 -5.925 1.196 Cd
-0.036 -4.016 4.620 Cd
-5.870 -5.783 1.497 Cd
-2.045 -4.146 1.710 Sm
-4.150 -8.416 3.470 La
```

---

# 3
A relaxed structure of V2RhS5. Source: the Alexandria database, functional PBE.

VASP energy (eV per atom): -6.221
Space-group type: Fmmm (69)

The structure in POSCAR format:
```
V2RhS5
1.0
-3.502 2.591 -0.330
-3.966 -2.254 -4.522
-4.673 -2.109 4.095
V S Rh
2 5 1
Cartesian
-3.213 -0.892 -1.826 V
-8.927 -0.879 1.069 V
-5.660 -0.641 -2.799 S
-6.480 -1.131 2.042 S
-7.545 -2.837 -0.051 S
-4.596 1.065 -0.706 S
-4.320 -2.182 -0.213 S
-6.070 -0.886 -0.379 Rh
```

---

# 4
A relaxed structure of Er2PuMg. Source: the Alexandria database, functional PBE.

VASP energy (eV per atom): -6.147
Space-group type: R3m (160)

The structure in POSCAR format:
```
Er2PuMg
1.0
-0.878 -1.662 -2.830
2.240 -2.042 -1.535
-3.185 -9.901 4.766
Pu Er Mg
1 2 1
Cartesian
-2.277 -12.368 1.855 Pu
-2.283 -7.753 3.224 Er
-0.449 -3.384 0.088 Er
-0.912 -6.803 0.201 Mg
```